# 1
Entry from Alexandria: a relaxed structure of NiPt2Br2 (GGA-PBE).

Calculated values
For the relative energy among the computed polymorphs, the calculation gives 641 meV/atom. Its uncorrected formation energy is 1095 meV/atom. The space-group type is I4/mmm, No. 139. The crystal system is tetragonal.

a b c (Å): 4.3322 4.3322 6.4360
angles (deg): 70.33 70.33 90.00
With the nearest neighbours (Å) after each atom.
Element x y z (fractional)
Ni (0.0000, 0.0000, 0.0000)  8 Pt 3.30, 8 Br 3.56
Br (0.7500, 0.2500, 0.5000)  4 Pt 2.69
Br (0.2500, 0.7500, 0.5000)  4 Pt 2.69
Pt (0.3905, 0.3905, 0.2190)  1 Pt 2.48, 4 Br 2.69
Pt (0.6095, 0.6095, 0.7810)  1 Pt 2.48, 4 Br 2.69

---

# 2
Entry from Alexandria: a relaxed structure of K2CdBiW (GGA-PBE).

Calculated values
The space-group type is P4/mmm, No. 123. The crystal system is tetragonal. As for the calculated formation energy: 1.241 eV per atom.

a b c (Å): 5.9962 5.4917 5.9962
angles (deg): 90.00 90.00 90.00
With the nearest neighbours (Å) after each atom.
Element x y z (fractional)
K (0.0000, 0.0000, 0.5000)  2 Cd 3.00
K (0.5000, 0.0000, 0.0000)  2 Cd 3.00
Bi (0.5000, 0.5000, 0.5000)  8 K 4.07, 4 W 4.24
W (0.0000, 0.5000, 0.0000)  2 Cd 2.75
Cd (0.0000, 0.0000, 0.0000)  2 W 2.75, 4 K 3.00

---

no.,final energy (eV/atom),total magnetization (μB/f.u.)
1,-3.15,0.1
2,-2.75,3.8